Entry from Alexandria via LeMat-Bulk: a relaxed structure of ScMoW2 (PBE).

Geometry as POSCAR:
```
ScMoW2
1.0
-1.928 0.802 -4.977
3.879 -3.691 0.681
-1.497 -2.324 -0.309
Mo W Sc
1 2 1
Direct
0.500 0.000 0.500
0.000 0.000 0.000
0.500 0.500 0.000
0.000 0.500 0.500
```

## Properties
energy relative to the lowest polymorph listed for this composition	63	meV/atom
total DFT energy (no corrections)	-0.3901	hartree per atom
crystal system	monoclinic
N(E_F)	4.08	states/eV per cell
symmetry	No. 12
E_form	0.152	eV per atom